No. 1
Material: TlAu2Cl
Method: DFT, PBE-GGA
State: optimized geometry

a = 3.651 Å, b = 3.959 Å, c = 7.445 Å
α = 84.95°, β = 90.00°, γ = 90.00°
Atoms (fractional coordinates):
Au1 0.000 0.901 0.096
Tl1 0.500 0.836 0.725
Au2 0.500 0.391 0.149
Cl1 0.000 0.371 0.530

Results
M_tot ... 0.000 μB per atom
Formation energy without anion corrections ... -0.18 eV per atom
Fermi-level density of states ... 0.82 states/eV/f.u.
E_tot ... -11.49 eV for the cell shown

***

No. 2
Material: TlAu2Cl6
Method: DFT, PBE-GGA
State: optimized geometry

a = 7.753 Å, b = 8.688 Å, c = 8.688 Å
α = 86.87°, β = 81.54°, γ = 81.54°
Atoms (fractional coordinates):
Cl1 0.565 0.611 0.603
Cl2 0.687 0.638 0.065
Cl3 0.935 0.397 0.389
Cl4 0.065 0.603 0.611
Au1 0.305 0.678 0.766
Au2 0.695 0.322 0.234
Tl1 0.750 0.903 0.097
Cl5 0.313 0.362 0.935
Cl6 0.632 0.984 0.808
Cl7 0.813 0.935 0.362
Au3 0.805 0.766 0.678
Cl8 0.435 0.389 0.397
Au4 0.195 0.234 0.322
Tl2 0.250 0.097 0.903
Cl9 0.187 0.065 0.638
Cl10 0.368 0.016 0.192
Cl11 0.132 0.808 0.984
Cl12 0.868 0.192 0.016

Results
M_tot ... 0.000 μB per atom
Formation energy without anion corrections ... -0.29 eV per atom
Fermi-level density of states ... 2.32 states/eV/f.u.
E_tot ... -45.21 eV for the cell shown

***

No. 3
Material: TlAuCl6
Method: DFT, PBE-GGA
State: optimized geometry

a = 8.911 Å, b = 6.422 Å, c = 8.671 Å
α = 68.77°, β = 58.54°, γ = 46.07°
Atoms (fractional coordinates):
Cl1 0.207 0.641 0.799
Tl1 0.000 0.000 0.500
Cl2 0.848 0.359 0.799
Cl3 0.793 0.359 0.201
Cl4 0.152 0.641 0.201
Cl5 0.496 0.000 0.387
Au1 0.000 0.000 0.000
Cl6 0.504 0.000 0.613

Results
M_tot ... 0.000 μB per atom
Formation energy without anion corrections ... -0.39 eV per atom
Fermi-level density of states ... 0.00 states/eV/f.u.
E_tot ... -19.85 eV for the cell shown

***

No. 4
Material: Tl3AuCl6
Method: DFT, PBE-GGA
State: optimized geometry

a = 4.953 Å, b = 8.075 Å, c = 16.949 Å
α = 90.00°, β = 93.86°, γ = 90.00°
Atoms (fractional coordinates):
Cl1 0.001 0.241 0.925
Tl1 0.468 0.170 0.773
Cl2 0.061 0.959 0.316
Cl3 0.236 0.365 0.589
Tl2 0.500 0.500 0.000
Tl3 0.000 0.000 0.500
Cl4 0.264 0.865 0.911
Cl5 0.999 0.759 0.075
Cl6 0.439 0.459 0.184
Cl7 0.764 0.635 0.411
Cl8 0.939 0.041 0.684
Cl9 0.499 0.741 0.575
Cl10 0.561 0.541 0.816
Au1 0.500 0.500 0.500
Tl4 0.032 0.670 0.727
Au2 0.000 0.000 0.000
Tl5 0.968 0.330 0.273
Cl11 0.501 0.259 0.425
Tl6 0.532 0.830 0.227
Cl12 0.736 0.135 0.089

Results
M_tot ... 0.000 μB per atom
Formation energy without anion corrections ... -0.74 eV per atom
E_tot ... -57.78 eV for the cell shown

***

> Which formula does entry 2 have?

TlAu2Cl6